(1)
This record from Alexandria describes crystalline Rb2YNF6 at its relaxed geometry. The functional is PBE.

Cell: 5.779 5.779 6.877 Å, 65.16 65.16 90.00°
Atoms (fractional coordinates):
Y  0.000  0.000  0.000
N  0.500  0.500  0.000
Rb  0.750  0.250  0.500
Rb  0.250  0.750  0.500
F  0.196  0.196  0.607
F  0.804  0.804  0.393
F  0.267  0.267  0.000
F  0.733  0.733  0.000
F  0.733  0.267  0.000
F  0.267  0.733  0.000

Values from the calculation:
space group	No. 139
crystal system	tetragonal

=====

(2)
This record from Alexandria describes crystalline RbZnN2F at its relaxed geometry. The functional is PBE.

Cell: 4.063 4.063 4.819 Å, 90.00 90.00 90.00°
Atoms (fractional coordinates):
Zn  0.000  0.000  0.000
N  0.000  0.500  0.000
N  0.500  0.000  0.000
Rb  0.500  0.500  0.500
F  0.000  0.000  0.500

Values from the calculation:
space group	No. 123
crystal system	tetragonal
offset from the most stable computed form	0	meV per atom

=====

(3)
This record from Alexandria describes crystalline RbZnNF2 at its relaxed geometry. The functional is PBE.

Cell: 5.143 5.143 5.451 Å, 90.00 90.00 90.00°
Atoms (fractional coordinates):
Zn  0.500  0.500  0.500
N  0.000  0.000  0.500
Rb  0.000  0.000  0.000
F  0.000  0.500  0.000
F  0.500  0.000  0.000

Values from the calculation:
space group	No. 123
crystal system	tetragonal
offset from the most stable computed form	1320	meV per atom

=====

(4)
This record from Alexandria describes crystalline RbZnN2F at its relaxed geometry. The functional is PBE.

Cell: 5.976 5.034 5.976 Å, 90.00 90.00 90.00°
Atoms (fractional coordinates):
Zn  0.500  0.500  0.500
N  0.000  0.000  0.500
N  0.500  0.000  0.000
Rb  0.000  0.000  0.000
F  0.000  0.500  0.000

Values from the calculation:
space group	No. 123
crystal system	tetragonal
offset from the most stable computed form	1105	meV per atom

=====

(5)
This record from Alexandria describes crystalline RbZnNF2 at its relaxed geometry. The functional is PBE.

Cell: 4.473 4.473 3.971 Å, 90.00 90.00 90.00°
Atoms (fractional coordinates):
Zn  0.000  0.000  0.000
N  0.000  0.000  0.500
Rb  0.500  0.500  0.500
F  0.000  0.500  0.000
F  0.500  0.000  0.000

Values from the calculation:
space group	No. 123
crystal system	tetragonal
offset from the most stable computed form	0	meV per atom

=====

(6)
This record from Alexandria describes crystalline Rb2ZrNF at its relaxed geometry. The functional is PBE.

Cell: 4.626 7.089 4.626 Å, 90.00 90.00 90.00°
Atoms (fractional coordinates):
N  0.000  0.500  0.000
Rb  0.000  0.000  0.500
Rb  0.500  0.000  0.000
Zr  0.500  0.500  0.500
F  0.000  0.000  0.000

Values from the calculation:
space group	No. 123
crystal system	tetragonal

=====

(7)
This record from Alexandria describes crystalline RbZrNF2 at its relaxed geometry. The functional is PBE.

Cell: 4.600 4.600 4.634 Å, 90.00 90.00 90.00°
Atoms (fractional coordinates):
N  0.000  0.000  0.500
Rb  0.000  0.000  0.000
Zr  0.500  0.500  0.500
F  0.000  0.500  0.000
F  0.500  0.000  0.000

Values from the calculation:
space group	No. 123
crystal system	tetragonal
offset from the most stable computed form	2362	meV per atom

=====

(8)
This record from Alexandria describes crystalline RbZrN2F at its relaxed geometry. The functional is PBE.

Cell: 4.262 4.262 4.569 Å, 90.00 90.00 90.00°
Atoms (fractional coordinates):
N  0.000  0.500  0.000
N  0.500  0.000  0.000
Rb  0.500  0.500  0.500
Zr  0.000  0.000  0.000
F  0.000  0.000  0.500

Values from the calculation:
space group	No. 123
crystal system	tetragonal
offset from the most stable computed form	0	meV per atom

=====

(9)
This record from Alexandria describes crystalline RbZrNF2 at its relaxed geometry. The functional is PBE.

Cell: 4.461 4.461 4.188 Å, 90.00 90.00 90.00°
Atoms (fractional coordinates):
N  0.000  0.000  0.500
Rb  0.500  0.500  0.500
Zr  0.000  0.000  0.000
F  0.000  0.500  0.000
F  0.500  0.000  0.000

Values from the calculation:
space group	No. 123
crystal system	tetragonal
offset from the most stable computed form	0	meV per atom

=====

(10)
This record from Alexandria describes crystalline RbZrN2F at its relaxed geometry. The functional is PBE.

Cell: 4.380 4.380 4.367 Å, 90.00 90.00 90.00°
Atoms (fractional coordinates):
N  0.000  0.500  0.000
N  0.500  0.000  0.000
Rb  0.000  0.000  0.000
Zr  0.500  0.500  0.500
F  0.000  0.000  0.500

Values from the calculation:
space group	No. 123
crystal system	tetragonal
offset from the most stable computed form	2322	meV per atom

=====

(11)
This record from Alexandria describes crystalline ReN2F at its relaxed geometry. The functional is PBE.

Cell: 5.906 5.906 5.912 Å, 60.04 60.04 90.00°
Atoms (fractional coordinates):
Re  0.000  0.000  0.000
Re  0.750  0.250  0.500
N  0.877  0.125  0.250
N  0.873  0.625  0.250
N  0.375  0.123  0.750
N  0.875  0.127  0.750
F  0.500  0.500  0.000
F  0.250  0.750  0.500

Values from the calculation:
space group	No. 122
crystal system	tetragonal
offset from the most stable computed form	0	meV per atom

=====

(12)
This record from Alexandria describes crystalline ReN2F at its relaxed geometry. The functional is PBE.

Cell: 6.112 6.112 6.112 Å, 28.01 28.01 28.01°
Atoms (fractional coordinates):
Re  0.500  0.500  0.500
N  0.897  0.897  0.897
N  0.103  0.103  0.103
F  0.000  0.000  0.000

Values from the calculation:
space group	No. 166
crystal system	trigonal
offset from the most stable computed form	334	meV per atom

=====

(13)
This record from Alexandria describes crystalline Re2NF at its relaxed geometry. The functional is PBE.

Cell: 3.980 3.980 3.980 Å, 60.00 60.00 60.00°
Atoms (fractional coordinates):
Re  0.250  0.250  0.250
Re  0.750  0.750  0.750
N  0.000  0.000  0.000
F  0.500  0.500  0.500

Values from the calculation:
space group	No. 225
crystal system	cubic
offset from the most stable computed form	915	meV per atom

=====

(14)
This record from Alexandria describes crystalline Re2NF at its relaxed geometry. The functional is PBE.

Cell: 3.980 3.980 7.164 Å, 73.87 73.87 90.00°
Atoms (fractional coordinates):
Re  0.556  0.125  0.250
Re  0.194  0.625  0.250
Re  0.375  0.444  0.750
Re  0.875  0.806  0.750
N  0.500  0.500  0.000
N  0.250  0.750  0.500
F  0.000  0.000  0.000
F  0.750  0.250  0.500

Values from the calculation:
space group	No. 122
crystal system	tetragonal
offset from the most stable computed form	0	meV per atom

=====

(15)
This record from Alexandria describes crystalline ReN2F at its relaxed geometry. The functional is PBE.

Cell: 3.647 3.647 3.647 Å, 60.00 60.00 60.00°
Atoms (fractional coordinates):
Re  0.500  0.500  0.500
N  0.250  0.250  0.250
N  0.750  0.750  0.750
F  0.000  0.000  0.000

Values from the calculation:
space group	No. 225
crystal system	cubic
offset from the most stable computed form	1110	meV per atom

=====

(16)
This record from Alexandria describes crystalline ReNF2 at its relaxed geometry. The functional is PBE.

Cell: 3.880 3.880 3.880 Å, 60.00 60.00 60.00°
Atoms (fractional coordinates):
Re  0.500  0.500  0.500
N  0.000  0.000  0.000
F  0.250  0.250  0.250
F  0.750  0.750  0.750

Values from the calculation:
space group	No. 225
crystal system	cubic
offset from the most stable computed form	846	meV per atom

=====

(17)
This record from Alexandria describes crystalline ReN2F5 at its relaxed geometry. The functional is PBE.

Cell: 4.059 6.400 6.436 Å, 78.76 71.09 72.15°
Atoms (fractional coordinates):
Re  0.965  0.000  0.000
N  0.478  0.432  0.568
N  0.453  0.568  0.432
F  0.814  0.984  0.310
F  0.107  0.691  0.016
F  0.824  0.309  0.984
F  0.117  0.015  0.690
F  0.465  0.000  0.000

Values from the calculation:
space group	No. 12
crystal system	monoclinic

=====

(18)
This record from Alexandria describes crystalline ReNF2 at its relaxed geometry. The functional is PBE.

Cell: 3.084 3.084 8.199 Å, 79.16 79.16 90.00°
Atoms (fractional coordinates):
Re  0.000  0.000  0.000
Re  0.750  0.250  0.500
N  0.500  0.500  0.000
N  0.250  0.750  0.500
F  0.647  0.125  0.250
F  0.103  0.625  0.250
F  0.375  0.353  0.750
F  0.875  0.897  0.750

Values from the calculation:
space group	No. 122
crystal system	tetragonal
offset from the most stable computed form	0	meV per atom

=====

(19)
This record from Alexandria describes crystalline Re2RhNF at its relaxed geometry. The functional is PBE.

Cell: 5.209 3.640 5.209 Å, 90.00 90.00 90.00°
Atoms (fractional coordinates):
Re  0.000  0.000  0.500
Re  0.500  0.000  0.000
N  0.000  0.500  0.000
Rh  0.000  0.000  0.000
F  0.500  0.500  0.500

Values from the calculation:
space group	No. 123
crystal system	tetragonal

=====

(20)
This record from Alexandria describes crystalline ReRuNF2 at its relaxed geometry. The functional is PBE.

Cell: 4.187 4.187 3.838 Å, 90.00 90.00 90.00°
Atoms (fractional coordinates):
Re  0.000  0.000  0.000
N  0.000  0.000  0.500
F  0.000  0.500  0.000
F  0.500  0.000  0.000
Ru  0.500  0.500  0.500

Values from the calculation:
space group	No. 123
crystal system	tetragonal
offset from the most stable computed form	0	meV per atom

=====

no.,formation energy (no corrections) (meV per atom),final energy (eV per cell)
1,-2248,-50.43
2,281,-19.36
3,198,-13.32
4,1385,-13.84
5,-1122,-19.92
6,643,-17.46
7,181,-20.68
8,-952,-32.80
9,-2182,-32.49
10,1370,-21.19
11,31,-61.69
12,365,-29.51
13,1264,-30.04
14,348,-67.40
15,1141,-26.40
16,961,-20.67
17,-1510,-50.54
18,115,-48.11
19,2007,-32.41
20,301,-32.29